First-principles (PBE-GGA) data for KHf4InC2 after structural relaxation, as listed in the Open Quantum Materials Database.

Output
As for the total DFT energy (no corrections): -8.17 eV/atom. The spin magnetization is 0.09 μB per atom. The theoretical density is 9.2 g cm⁻³.

Cell lengths 3.3197, 3.3197, 16.8506 Å; angles 90.00, 90.00, 120.00 degrees
Space group P-6m2 (No. 187)
One atom of each set of equivalent atoms:
1 K 0.0000 0.0000 0.0000 [1 per cell]
2 Hf 0.0000 0.0000 0.3504 [2 per cell]
3 Hf 0.6667 0.3333 0.2053 [2 per cell]
4 In 0.6667 0.3333 0.5000 [1 per cell]
5 C 0.3333 0.6667 0.2782 [2 per cell]